No. 1
DFT (PBE) results for a relaxed Y3Cd2In crystal. Values from VASP.

The structure in Quantum ESPRESSO input format:
```
&SYSTEM
  ibrav = 0, nat = 6, ntyp = 3
/
ATOMIC_SPECIES
Y 88.91 Y.upf
Cd 112.41 Cd.upf
In 114.82 In.upf
CELL_PARAMETERS angstrom
-1.590 -2.682 -2.076
2.139 -3.706 3.150
-7.548 2.080 3.092
ATOMIC_POSITIONS crystal
Y 0.500 0.500 0.000
Y 0.500 0.833 0.666
Y 0.500 0.167 0.334
Cd 0.000 0.331 0.661
Cd 0.000 0.669 0.339
In 0.000 0.000 0.000
```

Results
* energy relative to the elements: -0.413 eV/atom
* DOS at the Fermi energy: 1.004 states/eV/atom
* SG: Cmmm

No. 2
DFT (PBE) results for a relaxed RbNiHg2 crystal. Values from VASP.

The structure in Quantum ESPRESSO input format:
```
&SYSTEM
  ibrav = 0, nat = 4, ntyp = 3
/
ATOMIC_SPECIES
Ni 58.69 Ni.upf
Hg 200.59 Hg.upf
Rb 85.47 Rb.upf
CELL_PARAMETERS angstrom
0.000 3.802 3.802
3.802 0.000 3.802
3.802 3.802 0.000
ATOMIC_POSITIONS crystal
Ni 0.000 0.000 0.000
Hg 0.250 0.250 0.250
Hg 0.750 0.750 0.750
Rb 0.500 0.500 0.500
```

Results
* energy relative to the elements: 0.415 eV/atom
* DOS at the Fermi energy: 1.084 states/eV/atom
* SG: Fm-3m

No. 3
DFT (PBE) results for a relaxed CuSn2Ge2Rh5 crystal. Values from VASP.

The structure in Quantum ESPRESSO input format:
```
&SYSTEM
  ibrav = 0, nat = 20, ntyp = 4
/
ATOMIC_SPECIES
Cu 63.55 Cu.upf
Sn 118.71 Sn.upf
Ge 72.64 Ge.upf
Rh 102.91 Rh.upf
CELL_PARAMETERS angstrom
-2.085 -2.056 -0.728
4.572 -1.343 -9.299
6.012 -7.529 4.044
ATOMIC_POSITIONS crystal
Cu 0.000 0.000 0.000
Cu 0.000 0.500 0.500
Sn 0.000 0.657 0.157
Sn 0.000 0.343 0.843
Sn 0.000 0.157 0.343
Sn 0.000 0.843 0.657
Ge 0.000 0.143 0.643
Ge 0.000 0.857 0.357
Ge 0.000 0.643 0.857
Ge 0.000 0.357 0.143
Rh 0.500 0.166 0.126
Rh 0.500 0.834 0.874
Rh 0.500 0.126 0.834
Rh 0.500 0.666 0.374
Rh 0.500 0.874 0.166
Rh 0.500 0.334 0.626
Rh 0.500 0.626 0.666
Rh 0.500 0.374 0.334
Rh 0.500 0.500 0.000
Rh 0.500 0.000 0.500
```

Results
* energy relative to the elements: -0.187 eV/atom
* DOS at the Fermi energy: 0.601 states/eV/atom
* SG: P4/mbm

No. 4
DFT (PBE) results for a relaxed Ac6PdRh4 crystal. Values from VASP.

The structure in Quantum ESPRESSO input format:
```
&SYSTEM
  ibrav = 0, nat = 11, ntyp = 3
/
ATOMIC_SPECIES
Ac 227.00 Ac.upf
Pd 106.42 Pd.upf
Rh 102.91 Rh.upf
CELL_PARAMETERS angstrom
-4.867 -3.051 1.826
1.932 -4.894 -2.939
5.794 1.472 7.697
ATOMIC_POSITIONS crystal
Ac 0.080 0.565 0.644
Ac 0.565 0.080 0.644
Ac 0.917 0.917 0.355
Ac 0.003 0.502 0.999
Ac 0.433 0.433 0.356
Ac 0.502 0.003 0.999
Pd 0.003 0.003 0.002
Rh 0.901 0.374 0.279
Rh 0.625 0.625 0.721
Rh 0.374 0.901 0.279
Rh 0.099 0.099 0.720
```

Results
* energy relative to the elements: -0.599 eV/atom
* DOS at the Fermi energy: 0.398 states/eV/atom
* SG: Cm

No. 5
DFT (PBE) results for a relaxed Pm3SnGe4 crystal. Values from VASP.

The structure in Quantum ESPRESSO input format:
```
&SYSTEM
  ibrav = 0, nat = 8, ntyp = 3
/
ATOMIC_SPECIES
Pm 145.00 Pm.upf
Sn 118.71 Sn.upf
Ge 72.64 Ge.upf
CELL_PARAMETERS angstrom
-3.976 -0.378 -1.450
0.919 -6.384 -0.857
-0.910 2.087 8.175
ATOMIC_POSITIONS crystal
Pm 0.182 0.182 0.365
Pm 0.818 0.818 0.635
Pm 0.000 0.500 0.000
Sn 0.500 0.000 0.000
Ge 0.370 0.561 0.739
Ge 0.630 0.439 0.261
Ge 0.630 0.822 0.261
Ge 0.370 0.178 0.739
```

Results
* energy relative to the elements: -0.570 eV/atom
* DOS at the Fermi energy: 0.464 states/eV/atom
* SG: Immm

No. 6
DFT (PBE) results for a relaxed Np6US12 crystal. Values from VASP.

The structure in Quantum ESPRESSO input format:
```
&SYSTEM
  ibrav = 0, nat = 19, ntyp = 3
/
ATOMIC_SPECIES
Np 237.00 Np.upf
U 238.03 U.upf
S 32.06 S.upf
CELL_PARAMETERS angstrom
7.738 -0.054 -1.233
-1.436 7.604 -1.233
-0.045 -0.054 7.836
ATOMIC_POSITIONS crystal
Np 0.691 0.863 0.376
Np 0.624 0.309 0.137
Np 0.137 0.624 0.309
Np 0.309 0.137 0.624
Np 0.376 0.691 0.863
Np 0.863 0.376 0.691
U 0.000 0.000 0.000
S 0.822 0.570 0.420
S 0.420 0.822 0.570
S 0.570 0.420 0.822
S 0.178 0.430 0.580
S 0.580 0.178 0.430
S 0.430 0.580 0.178
S 0.066 0.955 0.326
S 0.045 0.674 0.934
S 0.674 0.934 0.045
S 0.934 0.045 0.674
S 0.955 0.326 0.066
S 0.326 0.066 0.955
```

Results
* formation energy (no corrections): -1.383 eV per atom
* DOS at the Fermi energy: 3.066 states/eV/atom
* SG: R-3

No. 7
DFT (PBE) results for a relaxed TmTh3 crystal. Values from VASP.

The structure in Quantum ESPRESSO input format:
```
&SYSTEM
  ibrav = 0, nat = 4, ntyp = 2
/
ATOMIC_SPECIES
Tm 168.93 Tm.upf
Th 232.04 Th.upf
CELL_PARAMETERS angstrom
-3.699 0.043 -3.388
3.157 -1.777 -3.470
-0.968 -3.860 4.722
ATOMIC_POSITIONS crystal
Tm 0.000 0.000 0.000
Th 0.750 0.250 0.500
Th 0.250 0.750 0.500
Th 0.500 0.500 0.000
```

Results
* energy relative to the elements: 0.040 eV/atom
* DOS at the Fermi energy: 1.853 states/eV/atom
* SG: I4/mmm

No. 8
DFT (PBE) results for a relaxed MgTlPt crystal. Values from VASP.

The structure in Quantum ESPRESSO input format:
```
&SYSTEM
  ibrav = 0, nat = 3, ntyp = 3
/
ATOMIC_SPECIES
Mg 24.30 Mg.upf
Pt 195.08 Pt.upf
Tl 204.38 Tl.upf
CELL_PARAMETERS angstrom
-0.167 -3.701 2.956
0.911 -0.681 -4.601
3.009 0.304 0.551
ATOMIC_POSITIONS crystal
Mg 0.000 0.000 0.000
Pt 0.667 0.333 0.499
Tl 0.333 0.667 0.501
```

Results
* energy relative to the elements: -0.228 eV/atom
* DOS at the Fermi energy: 0.405 states/eV/atom
* SG: P-6m2

No. 9
DFT (PBE) results for a relaxed CdHg4Pb2 crystal. Values from VASP.

The structure in Quantum ESPRESSO input format:
```
&SYSTEM
  ibrav = 0, nat = 7, ntyp = 3
/
ATOMIC_SPECIES
Pb 207.20 Pb.upf
Hg 200.59 Hg.upf
Cd 112.41 Cd.upf
CELL_PARAMETERS angstrom
5.578 0.000 0.000
0.000 5.578 0.000
-2.789 -2.789 7.679
ATOMIC_POSITIONS crystal
Pb 0.611 0.611 0.221
Pb 0.389 0.389 0.779
Hg 0.809 0.809 0.618
Hg 0.191 0.191 0.382
Hg 0.000 0.500 0.000
Hg 0.500 0.000 0.000
Cd 0.000 0.000 0.000
```

Results
* energy relative to the elements: 0.191 eV/atom
* DOS at the Fermi energy: 0.775 states/eV/atom
* SG: I4/mmm

No. 10
DFT (PBE) results for a relaxed Th4BiOsS2 crystal. Values from VASP.

The structure in Quantum ESPRESSO input format:
```
&SYSTEM
  ibrav = 0, nat = 8, ntyp = 4
/
ATOMIC_SPECIES
Th 232.04 Th.upf
Bi 208.98 Bi.upf
Os 190.23 Os.upf
S 32.06 S.upf
CELL_PARAMETERS angstrom
4.137 0.000 0.000
0.000 7.246 -0.107
0.000 2.598 7.260
ATOMIC_POSITIONS crystal
Th 0.000 0.769 0.717
Th 0.000 0.231 0.283
Th 0.500 0.736 0.281
Th 0.500 0.264 0.719
Bi 0.500 0.500 0.000
Os 0.000 0.500 0.500
S 0.000 0.000 0.000
S 0.500 0.000 0.500
```

Results
* formation energy (no corrections): -1.057 eV per atom
* DOS at the Fermi energy: 0.797 states/eV/atom
* SG: P2/m

No. 11
DFT (PBE) results for a relaxed Sc2Sb2Pb crystal. Values from VASP.

The structure in Quantum ESPRESSO input format:
```
&SYSTEM
  ibrav = 0, nat = 10, ntyp = 3
/
ATOMIC_SPECIES
Pb 207.20 Pb.upf
Sb 121.76 Sb.upf
Sc 44.96 Sc.upf
CELL_PARAMETERS angstrom
-7.805 1.833 -2.156
0.854 -4.507 -6.920
-1.235 -3.078 1.852
ATOMIC_POSITIONS crystal
Pb 0.000 0.000 0.000
Pb 0.500 0.500 0.000
Sb 0.350 0.850 0.000
Sb 0.850 0.650 0.000
Sb 0.650 0.150 0.000
Sb 0.150 0.350 0.000
Sc 0.141 0.641 0.500
Sc 0.641 0.859 0.500
Sc 0.859 0.359 0.500
Sc 0.359 0.141 0.500
```

Results
* formation energy (no corrections): -0.519 eV per atom
* DOS at the Fermi energy: 0.496 states/eV/atom
* SG: P4/mbm

No. 12
DFT (PBE) results for a relaxed Al4Br crystal. Values from VASP.

The structure in Quantum ESPRESSO input format:
```
&SYSTEM
  ibrav = 0, nat = 5, ntyp = 2
/
ATOMIC_SPECIES
Al 26.98 Al.upf
Br 79.90 Br.upf
CELL_PARAMETERS angstrom
-1.661 -3.850 -3.104
4.664 -0.131 -2.334
1.644 -3.518 3.484
ATOMIC_POSITIONS crystal
Al 0.000 0.000 0.000
Al 0.500 0.000 0.500
Al 0.000 0.500 0.500
Al 0.500 0.500 0.000
Br 0.500 0.500 0.500
```

Results
* formation energy (no corrections): 0.979 eV per atom
* DOS at the Fermi energy: 0.925 states/eV/atom
* SG: Pm-3m

Respective total moment values: 0.00 0.44 0.00 0.00 0.00 24.00 0.00 0.00 0.00 0.00 1.03 0.00 μB/cell.
Respective raw total energy values: -26.4 -5.7 -119.9 -65.8 -41.3 -164.7 -26.6 -10.7 -8.2 -61.5 -54.4 -11.7 eV/cell.